Record 1
DFT (PBE-GGA) results for a relaxed TaCd2InH crystal.

Crystal system: tetragonal
DFT total energy (eV/atom): -3.439
N(E_F) (states/eV per cell): 2.32

Cell: 4.2519 4.2519 4.7302 Å, 90.00 90.00 90.00°
Fractional positions:
Ta1 0.0000 0.0000 0.0000
Cd1 0.0000 0.5000 0.5000
Cd2 0.5000 0.0000 0.5000
In1 0.5000 0.5000 0.0000
H1 0.5000 0.5000 0.5000

***

Record 2
DFT (PBE-GGA) results for a relaxed SmAl2Au3 crystal.

Crystal system: orthorhombic
ΔH_f (0 K) (eV per formula unit): -3.7
DFT total energy (eV/atom): -4.295
N(E_F) (states/eV per cell): 5.87

Cell: 6.6757 6.6757 5.5300 Å, 90.00 90.00 79.81°
Fractional positions:
Sm1 0.1852 0.8148 0.7500
Sm2 0.8148 0.1852 0.2500
Al1 0.2872 0.2872 0.0000
Al2 0.2872 0.2872 0.5000
Al3 0.7128 0.7128 0.0000
Al4 0.7128 0.7128 0.5000
Au1 0.0293 0.6256 0.2500
Au2 0.3744 0.9707 0.2500
Au3 0.4501 0.5499 0.2500
Au4 0.5499 0.4501 0.7500
Au5 0.6256 0.0293 0.7500
Au6 0.9707 0.3744 0.7500

***

Record 3
DFT (PBE-GGA) results for a relaxed SiTcSb2 crystal.

ΔE_f (raw) (meV/atom): 655.5
Crystal system: orthorhombic
DFT total energy (eV/atom): -5.353
N(E_F) (states/eV per cell): 2.76

Cell: 3.4938 4.3294 5.2984 Å, 90.00 90.00 90.00°
Fractional positions:
Si1 0.0000 0.0000 0.0000
Tc1 0.5000 0.0000 0.5000
Sb1 0.0000 0.5000 0.5000
Sb2 0.5000 0.5000 0.0000

***

Record 4
DFT (PBE-GGA) results for a relaxed Sr3Zn2Cd4 crystal.

Crystal system: monoclinic
ΔH_f (0 K) (eV per formula unit): -2.6
DFT total energy (eV/atom): -1.543
N(E_F) (states/eV per cell): 5.72

Cell: 6.4185 6.4185 9.5499 Å, 108.71 108.71 44.66°
Fractional positions:
Sr1 0.0000 0.0000 0.0000
Sr2 0.3309 0.3309 0.3394
Sr3 0.6691 0.6691 0.6606
Zn1 0.3940 0.3940 0.7251
Zn2 0.6060 0.6060 0.2749
Cd1 0.0518 0.0518 0.3798
Cd2 0.2796 0.2796 0.9365
Cd3 0.7204 0.7204 0.0635
Cd4 0.9482 0.9482 0.6202

***

Record 5
DFT (PBE-GGA) results for a relaxed ScGe2Rh crystal.

Crystal system: orthorhombic
ΔH_f (0 K) (eV per formula unit): -3.0
DFT total energy (eV/atom): -6.483
N(E_F) (states/eV per cell): 2.06

Cell: 6.5543 4.1796 9.8671 Å, 90.00 90.00 90.00°
Fractional positions:
Sc1 0.2308 0.2500 0.1855
Sc2 0.2692 0.7500 0.6855
Sc3 0.7308 0.2500 0.3145
Sc4 0.7692 0.7500 0.8145
Ge1 0.0360 0.7500 0.3334
Ge2 0.2381 0.2500 0.4767
Ge3 0.2619 0.7500 0.9767
Ge4 0.4640 0.2500 0.8334
Ge5 0.5360 0.7500 0.1666
Ge6 0.7381 0.2500 0.0233
Ge7 0.7619 0.7500 0.5233
Ge8 0.9640 0.2500 0.6666
Rh1 0.0881 0.2500 0.9060
Rh2 0.4119 0.7500 0.4060
Rh3 0.5881 0.2500 0.5940
Rh4 0.9119 0.7500 0.0940

***

Record 6
DFT (PBE-GGA) results for a relaxed CaPm2HgAu4 crystal.

Crystal system: trigonal
ΔH_f (0 K) (eV per formula unit): -5.8
DFT total energy (eV/atom): -3.835
N(E_F) (states/eV per cell): 4.83

Cell: 8.8748 8.8748 8.8748 Å, 33.36 33.36 33.36°
Fractional positions:
Ca1 0.0000 0.0000 0.0000
Pm1 0.2421 0.2421 0.2421
Pm2 0.7579 0.7579 0.7579
Hg1 0.5000 0.5000 0.5000
Au1 0.1194 0.1194 0.1194
Au2 0.3684 0.3684 0.3684
Au3 0.6316 0.6316 0.6316
Au4 0.8806 0.8806 0.8806

***

Record 7
DFT (PBE-GGA) results for a relaxed Hg2Sb crystal.

ΔE_f (raw) (meV/atom): 99.5
Crystal system: orthorhombic
DFT total energy (eV/atom): -1.476
N(E_F) (states/eV per cell): 3.21

Cell: 10.2825 10.2825 5.1870 Å, 90.00 90.00 162.17°
Fractional positions:
Hg1 0.0385 0.9615 0.7500
Hg2 0.2920 0.7080 0.2500
Hg3 0.7080 0.2920 0.7500
Hg4 0.9615 0.0385 0.2500
Sb1 0.3576 0.6424 0.7500
Sb2 0.6424 0.3576 0.2500

***

Record 8
DFT (PBE-GGA) results for a relaxed Sc2TlTe crystal.

ΔE_f (raw) (meV/atom): -281.4
Crystal system: trigonal
DFT total energy (eV/atom): -4.824
N(E_F) (states/eV per cell): 5.11

Cell: 9.8841 9.8841 9.8841 Å, 21.97 21.97 21.97°
Fractional positions:
Sc1 0.1023 0.1023 0.1023
Sc2 0.8977 0.8977 0.8977
Tl1 0.0000 0.0000 0.0000
Te1 0.5000 0.5000 0.5000

***

Record 9
DFT (PBE-GGA) results for a relaxed Be2AlCl crystal.

ΔE_f (raw) (meV/atom): 422.3
Crystal system: tetragonal
DFT total energy (eV/atom): -2.838
N(E_F) (states/eV per cell): 1.27

Cell: 2.8927 2.8927 6.7541 Å, 90.00 90.00 90.00°
Fractional positions:
Be1 0.0000 0.0000 0.2287
Be2 0.0000 0.0000 0.7713
Al1 0.5000 0.5000 0.0000
Cl1 0.5000 0.5000 0.5000

***

Record 10
DFT (PBE-GGA) results for a relaxed ScMnSe crystal.

ΔE_f (raw) (meV/atom): -364.6
Crystal system: cubic
DFT total energy (eV/atom): -6.693
N(E_F) (states/eV per cell): 1.52

Cell: 4.2898 4.2898 4.2898 Å, 60.00 60.00 60.00°
Fractional positions:
Sc1 0.0000 0.0000 0.0000
Mn1 0.5000 0.5000 0.5000
Se1 0.7500 0.7500 0.7500

***

Record 11
DFT (PBE-GGA) results for a relaxed ScBrN2 crystal.

ΔE_f (raw) (meV/atom): 66.2
Crystal system: trigonal
DFT total energy (eV/atom): -6.098
N(E_F) (states/eV per cell): 3.70

Cell: 6.4162 6.4162 6.4162 Å, 30.51 30.51 30.51°
Fractional positions:
Sc1 0.0000 0.0000 0.0000
Br1 0.5000 0.5000 0.5000
N1 0.3915 0.3915 0.3915
N2 0.6085 0.6085 0.6085

***

Record 12
DFT (PBE-GGA) results for a relaxed Li2SbPt crystal.

ΔE_f (raw) (meV/atom): -591.3
Crystal system: tetragonal
DFT total energy (eV/atom): -4.089
N(E_F) (states/eV per cell): 1.06

Cell: 5.0558 5.0558 5.0558 Å, 133.88 133.88 67.28°
Fractional positions:
Li1 0.2500 0.7500 0.5000
Li2 0.7500 0.2500 0.5000
Sb1 0.0000 0.0000 0.0000
Pt1 0.5000 0.5000 0.0000